Crystalline RbLiSe2 at its relaxed geometry. Source: Alexandria via LeMat-Bulk, functional PBE.

CIF file:
```
data_RbLiSe2
_chemical_formula_sum 'Rb4 Li4 Se8'
_symmetry_space_group_name_H-M 'F m -3 m'
_symmetry_Int_Tables_number 225
_symmetry_space_group_name_Hall '-F 4 2 3'
_cell_length_a 7.588
_cell_length_b 7.588
_cell_length_c 7.588
_cell_angle_alpha 90.00
_cell_angle_beta 90.00
_cell_angle_gamma 90.00
loop_
_atom_site_label
_atom_site_fract_x
_atom_site_fract_y
_atom_site_fract_z
Rb1 0.000 0.000 0.000
Li1 0.000 0.000 0.500
Se1 0.250 0.250 0.250
```

Summary:
The formation energy without anion corrections is -395 meV/atom.